ZrPdSN2 | the Alexandria database | PBEsol | optimized geometry; space group = No. 123; uncorrected energy = -33.688 eV per cell
1.0
-1.587 -3.543 -0.263
1.936 -1.104 3.190
-3.441 1.352 2.556
S Zr N Pd
1 1 2 1
Direct
0.000 0.000 0.500
0.500 0.500 0.500
0.000 0.500 0.000
0.500 0.000 0.000
0.000 0.000 0.000